Entry P
Compound: TcMoS2
Source: Alexandria
Functional: GGA-PBE
Structure: optimized geometry

CIF file:
```
data_TcMoS2
_chemical_formula_sum 'Tc4 Mo4 S8'
_symmetry_space_group_name_H-M 'F m -3 m'
_symmetry_Int_Tables_number 225
_symmetry_space_group_name_Hall '-F 4 2 3'
_cell_length_a 5.990
_cell_length_b 5.990
_cell_length_c 5.990
_cell_angle_alpha 90.00
_cell_angle_beta 90.00
_cell_angle_gamma 90.00
loop_
_atom_site_label
_atom_site_fract_x
_atom_site_fract_y
_atom_site_fract_z
Tc1 0.000 0.000 0.000
Mo1 0.000 0.000 0.500
S1 0.250 0.250 0.250
```

***

Entry Q
Compound: TcMoS2
Source: Alexandria
Functional: GGA-PBE
Structure: optimized geometry

CIF file:
```
data_TcMoS2
_chemical_formula_sum 'Tc3 Mo3 S6'
_symmetry_space_group_name_H-M 'R -3 m'
_symmetry_Int_Tables_number 166
_symmetry_space_group_name_Hall '-R 3 2"'
_cell_length_a 3.0308
_cell_length_b 3.0308
_cell_length_c 23.7140
_cell_angle_alpha 90.00
_cell_angle_beta 90.00
_cell_angle_gamma 120.00
loop_
_atom_site_label
_atom_site_fract_x
_atom_site_fract_y
_atom_site_fract_z
Tc1 0.0000 0.0000 0.0000
Mo1 0.0000 0.0000 0.5000
S1 0.0000 0.0000 0.0956
```

***

entry P is the least stable structure shown above.